A plane-wave DFT calculation with PBE-GGA was carried out for a relaxed TbFe2B2 crystal.

As for the magnetization: 1.2 μB per formula unit. The formation energy comes out at -0.431 eV per atom. Its uncorrected energy is -37.1 eV per cell.

Cell lengths 5.365, 5.365, 5.365 Å; angles 140.59, 140.59, 56.96 degrees
Each line ends with the local moment (μB).
Element x y z (fractional)
Tb 0.000 0.000 0.000  -0.04
Fe 0.750 0.250 0.500  0.69
Fe 0.250 0.750 0.500  0.69
B 0.340 0.340 0.000  -0.05
B 0.660 0.660 0.000  -0.05